1.
This record from Alexandria via LeMat-Bulk describes an optimized crystal structure of CsCa2AgF8. The functional is PBE-GGA.

Summary:
DOS(E_F) in states/eV/f.u.: 4.769
E_tot in eV per formula unit: -54.77
Symmetry: No. 10

Cell: 5.183 5.734 7.510 Å, 89.99 89.98 84.79°
Last column: magnetic moment on the atom in μB.
Sites, in units of the cell vectors:
Ca1 0.500 0.500 0.233  0.00
Ca2 0.500 0.500 0.767  0.00
F1 0.589 0.698 0.500  0.06
F2 0.130 0.766 0.182  -0.01
F3 0.870 0.234 0.182  -0.01
F4 0.870 0.234 0.818  -0.01
F5 0.411 0.302 0.500  0.06
F6 0.130 0.766 0.818  -0.01
F7 0.364 0.296 0.000  0.00
F8 0.636 0.704 0.000  0.00
Ag1 0.000 0.000 0.000  -0.05
Cs1 0.000 0.000 0.500  0.01

2.
This record from Alexandria via LeMat-Bulk describes an optimized crystal structure of Cs2CaAg2F6. The functional is PBE-GGA.

Summary:
DOS(E_F) in states/eV/f.u.: 0.000
E_tot in eV per formula unit: -46.91
Symmetry: No. 12

Cell: 6.564 6.855 6.998 Å, 116.33 90.00 118.61°
Sites, in units of the cell vectors:
F1 0.313 0.100 0.772
F2 0.213 0.900 0.228
F3 0.286 0.573 0.387
F4 0.787 0.100 0.772
F5 0.714 0.427 0.613
F6 0.687 0.900 0.228
Ca1 0.500 0.000 0.500
Cs1 0.724 0.448 0.178
Cs2 0.276 0.552 0.822
Ag1 0.075 0.149 0.238
Ag2 0.925 0.851 0.762

3.
This record from Alexandria via LeMat-Bulk describes an optimized crystal structure of CsCaHfAg2. The functional is PBE-GGA.

Summary:
DOS(E_F) in states/eV/f.u.: 6.617
Symmetry: No. 123
Energy relative to the elements in eV per atom: 1.368

Cell: 5.382 5.810 5.382 Å, 90.00 90.00 90.00°
Last column: magnetic moment on the atom in μB.
Sites, in units of the cell vectors:
Hf1 0.500 0.500 0.500  0.97
Ag1 0.000 0.000 0.500  0.01
Ag2 0.500 0.000 0.000  0.01
Cs1 0.000 0.500 0.000  0.04
Ca1 0.000 0.000 0.000  0.01

Q: Which formula does entry 2 have?
A: Cs2CaAg2F6